Record 1
A relaxed Ac3Mn5S12 crystal, computed with PBE.

- D(E_F) (states/eV/f.u.) = 5.428
- total DFT energy (no corrections) (eV for the cell shown) = -521.469

POSCAR file:
```
Ac3Mn5S12
1.0
13.371 0.000 0.000
-4.457 12.606 0.000
-4.457 -6.303 10.917
Ac Mn S
12 20 48
Cartesian
7.800 3.939 1.365
7.800 8.667 1.365
-1.114 5.515 6.823
1.114 -0.788 4.094
10.028 0.000 2.729
1.114 6.303 2.729
3.343 0.000 8.188
-5.571 6.303 8.188
3.343 7.091 6.823
5.571 0.788 4.094
-3.343 -2.364 9.553
-3.343 2.364 9.553
-1.114 3.152 2.729
-2.228 6.303 0.000
0.000 0.000 0.000
3.343 2.364 1.365
4.457 -3.152 5.459
4.457 6.303 0.000
-3.343 7.091 4.094
5.571 -3.939 9.553
5.571 5.515 4.094
1.114 -3.152 8.188
3.343 9.455 2.729
2.228 3.152 5.459
6.685 0.000 0.000
-2.228 -3.152 5.459
-1.114 0.788 6.823
-1.114 10.242 1.365
-4.457 3.152 5.459
7.800 -0.788 6.823
1.114 3.939 9.553
5.571 3.152 8.188
8.722 1.300 0.218
0.192 3.990 4.442
10.028 2.965 3.312
5.572 1.766 1.235
1.682 4.517 7.388
9.673 6.363 1.929
-1.114 7.502 4.546
-3.343 10.840 1.235
0.547 8.089 7.388
5.926 6.243 1.929
6.877 3.613 4.224
6.877 11.306 0.218
-3.910 5.505 5.676
2.987 4.602 0.912
-4.649 8.993 4.224
2.420 -2.313 6.475
-0.547 0.988 2.147
2.987 7.944 1.017
5.572 9.641 3.312
-0.759 4.663 1.017
-2.775 7.291 8.770
3.342 5.104 4.546
6.139 7.101 5.676
5.216 -1.701 10.005
1.115 1.199 6.371
-1.682 -0.798 5.241
-0.759 8.004 0.912
-1.115 -3.338 7.606
7.232 -0.988 2.147
5.216 1.641 9.900
1.469 -1.641 9.900
2.036 8.616 4.442
5.004 5.315 8.770
9.106 -2.690 6.693
8.367 0.798 5.241
-2.420 -5.003 10.699
1.469 1.701 10.005
3.910 -1.786 3.529
-1.469 0.060 8.988
-2.420 2.690 6.693
7.800 -4.537 9.683
5.571 -1.199 6.371
-1.115 4.537 9.683
-5.216 -0.060 8.988
2.775 1.786 3.529
-5.571 3.338 7.606
4.265 2.313 6.475
-4.265 5.003 10.699
```

---

Record 2
A relaxed Ca2YMg5 crystal, computed with PBE.

- D(E_F) (states/eV/f.u.) = 5.345
- energy of formation from the pure elements (eV/f.u.) = -0.56
- total DFT energy (no corrections) (eV for the cell shown) = -18.997

POSCAR file:
```
Ca2YMg5
1.0
-4.753 -2.029 1.540
1.623 -4.925 -1.481
4.354 2.282 7.002
Ca Y Mg
2 1 5
Cartesian
-0.189 -4.067 3.500
1.413 -0.605 3.563
0.000 0.000 0.000
-1.565 -3.477 0.030
-0.230 -1.935 6.183
2.958 -3.383 4.672
1.454 -2.738 0.879
-1.734 -1.290 2.390
```

---

Record 3
A relaxed PuNpSi crystal, computed with PBE.

- D(E_F) (states/eV/f.u.) = 6.505
- total DFT energy (no corrections) (eV for the cell shown) = -32.819

POSCAR file:
```
PuNpSi
1.0
2.952 0.000 0.000
0.000 4.608 0.000
0.000 -2.304 3.991
Np Si Pu
1 1 1
Cartesian
0.248 0.000 0.000
1.878 2.304 1.330
0.826 0.000 2.661
```

---

Record 4
A relaxed Rb3HgF4 crystal, computed with PBE.

- D(E_F) (states/eV/f.u.) = 2.591
- total DFT energy (no corrections) (eV for the cell shown) = -56.035

POSCAR file:
```
Rb3HgF4
1.0
5.591 0.000 0.000
0.000 7.977 0.000
0.000 0.000 9.669
Rb Hg F
6 2 8
Cartesian
3.128 6.762 0.000
0.331 5.381 2.381
3.127 2.596 2.453
0.333 1.214 4.834
3.127 2.596 7.215
0.331 5.381 7.287
0.314 1.462 0.000
3.110 6.514 4.834
0.339 6.854 0.000
3.356 1.485 0.000
0.336 2.578 2.369
3.132 5.399 2.465
0.561 6.492 4.834
3.134 1.123 4.834
3.132 5.399 7.204
0.336 2.578 7.299
```